No. 1
The following is a GGA-PBE calculation of an optimized crystal structure of Nb2CSBr, from the Alexandria database.

Geometry as POSCAR:
```
Nb2CSBr
1.0
4.791 0.000 0.000
0.000 4.791 0.000
0.000 0.000 4.670
Nb C S Br
2 1 1 1
Direct
0.000 0.500 0.000
0.500 0.000 0.000
0.000 0.000 0.500
0.500 0.500 0.500
0.500 0.500 0.000
```

Properties
Space-group type = P4/mmm, No. 123
Energy = -4.418 eV/atom

***

No. 2
The following is a GGA-PBE calculation of an optimized crystal structure of NbCSe2Br, from the Alexandria database.

Geometry as POSCAR:
```
NbCSe2Br
1.0
4.415 0.000 0.000
0.000 4.415 0.000
0.000 0.000 4.529
Nb C Se Br
1 1 2 1
Direct
0.000 0.000 0.000
0.500 0.500 0.500
0.000 0.500 0.500
0.500 0.000 0.500
0.500 0.500 0.000
```

Properties
Space-group type = P4/mmm, No. 123
Relative energy among the computed polymorphs = 0.00 kJ/mol of atoms
Energy = -4.445 eV/atom

***

No. 3
The following is a GGA-PBE calculation of an optimized crystal structure of NbCSe2Br, from the Alexandria database.

Geometry as POSCAR:
```
NbCSe2Br
1.0
5.017 0.000 0.000
0.000 5.017 0.000
0.000 0.000 5.226
Nb C Se Br
1 1 2 1
Direct
0.000 0.000 0.000
0.500 0.500 0.500
0.000 0.500 0.000
0.500 0.000 0.000
0.000 0.000 0.500
```

Properties
Space-group type = P4/mmm, No. 123
Relative energy among the computed polymorphs = 1.57 kJ/mol of atoms
Energy = -4.429 eV/atom

***

No. 4
The following is a GGA-PBE calculation of an optimized crystal structure of NbTe2CBr, from the Alexandria database.

Geometry as POSCAR:
```
NbTe2CBr
1.0
5.418 0.000 0.000
0.000 5.418 0.000
0.000 0.000 5.139
Nb Te C Br
1 2 1 1
Direct
0.000 0.000 0.000
0.000 0.500 0.000
0.500 0.000 0.000
0.500 0.500 0.500
0.000 0.000 0.500
```

Properties
Space-group type = P4/mmm, No. 123
Energy = -4.137 eV/atom

***

No. 5
The following is a GGA-PBE calculation of an optimized crystal structure of NbWC2Br, from the Alexandria database.

Geometry as POSCAR:
```
NbWC2Br
1.0
3.956 0.000 0.000
0.000 3.956 0.000
0.000 0.000 4.954
Nb W C Br
1 1 2 1
Direct
0.000 0.000 0.000
0.500 0.500 0.000
0.000 0.500 0.500
0.500 0.000 0.500
0.000 0.000 0.500
```

Properties
Space-group type = P4/mmm, No. 123
Energy = -5.398 eV/atom

***

No. 6
The following is a GGA-PBE calculation of an optimized crystal structure of Nd2CBr, from the Alexandria database.

Geometry as POSCAR:
```
Nd2CBr
1.0
1.901 1.097 7.513
-1.901 1.097 7.513
0.000 -2.195 7.513
Nd C Br
2 1 1
Direct
0.000 0.000 0.000
0.211 0.211 0.211
0.605 0.605 0.605
0.773 0.773 0.773
```

Properties
Space-group type = R3m, No. 160
Energy = -5.982 eV/atom

***

No. 7
The following is a GGA-PBE calculation of an optimized crystal structure of Nd4CBr2, from the Alexandria database.

Geometry as POSCAR:
```
Nd4CBr2
1.0
-2.643 2.643 7.174
2.643 -2.643 7.174
2.643 2.643 -7.174
Nd C Br
4 1 2
Direct
0.000 0.500 0.500
0.175 0.175 0.000
0.500 0.000 0.500
0.825 0.825 0.000
0.000 0.000 0.000
0.387 0.387 0.000
0.613 0.613 0.000
```

Properties
Space-group type = I4/mmm, No. 139
Energy = -5.008 eV/atom

***

No. 8
The following is a GGA-PBE calculation of an optimized crystal structure of Nd3C2Br2, from the Alexandria database.

Geometry as POSCAR:
```
Nd3C2Br2
1.0
3.732 0.000 0.000
-1.437 6.265 0.000
-0.275 -1.349 7.638
Nd C Br
3 2 2
Direct
0.000 0.000 0.000
0.209 0.447 0.792
0.791 0.553 0.208
0.360 0.723 0.057
0.640 0.277 0.943
0.166 0.241 0.377
0.834 0.759 0.623
```

Properties
Space-group type = P-1, No. 2
Energy = -5.808 eV/atom

***

No. 9
The following is a GGA-PBE calculation of an optimized crystal structure of Nd2CBr2, from the Alexandria database.

Geometry as POSCAR:
```
Nd2CBr2
1.0
1.930 1.114 11.046
-1.930 1.114 11.046
0.000 -2.228 11.046
Nd C Br
2 1 2
Direct
0.123 0.123 0.123
0.877 0.877 0.877
0.500 0.500 0.500
0.394 0.394 0.394
0.606 0.606 0.606
```

Properties
Space-group type = R-3m, No. 166
Energy = -5.515 eV/atom

***

No. 10
The following is a GGA-PBE calculation of an optimized crystal structure of Nd3CBr3, from the Alexandria database.

Geometry as POSCAR:
```
Nd3CBr3
1.0
8.603 0.000 0.000
0.000 3.918 0.000
-0.593 0.000 11.605
Nd C Br
6 2 6
Direct
0.090 0.250 0.393
0.119 0.250 0.834
0.314 0.750 0.621
0.686 0.250 0.379
0.881 0.750 0.166
0.910 0.750 0.607
0.124 0.250 0.621
0.876 0.750 0.379
0.137 0.250 0.124
0.377 0.750 0.875
0.380 0.750 0.368
0.620 0.250 0.632
0.623 0.250 0.125
0.863 0.750 0.876
```

Properties
Space-group type = P2_1/m, No. 11
Relative energy among the computed polymorphs = 0.00 kJ/mol of atoms
Energy = -5.370 eV/atom

***

No. 11
The following is a GGA-PBE calculation of an optimized crystal structure of NdCBr, from the Alexandria database.

Geometry as POSCAR:
```
NdCBr
1.0
-1.939 2.275 8.133
1.939 -2.275 8.133
1.939 2.275 -8.133
Nd C Br
2 2 2
Direct
0.113 0.113 0.000
0.887 0.887 0.000
0.360 0.000 0.360
0.640 0.000 0.640
0.318 0.318 0.000
0.682 0.682 0.000
```

Properties
Space-group type = Immm, No. 71
Energy = -5.864 eV/atom

***

No. 12
The following is a GGA-PBE calculation of an optimized crystal structure of Nd6CBr12, from the Alexandria database.

Geometry as POSCAR:
```
Nd6CBr12
1.0
5.184 2.993 6.116
-5.184 2.993 6.116
0.000 -5.986 6.116
Nd C Br
6 1 12
Direct
0.285 0.285 0.687
0.285 0.687 0.285
0.313 0.715 0.715
0.687 0.285 0.285
0.715 0.313 0.715
0.715 0.715 0.313
0.500 0.500 0.500
0.053 0.053 0.675
0.053 0.675 0.053
0.061 0.612 0.612
0.325 0.947 0.947
0.388 0.388 0.939
0.388 0.939 0.388
0.612 0.061 0.612
0.612 0.612 0.061
0.675 0.053 0.053
0.939 0.388 0.388
0.947 0.325 0.947
0.947 0.947 0.325
```

Properties
Space-group type = R-3m, No. 166
Energy = -4.467 eV/atom

***

No. 13
The following is a GGA-PBE calculation of an optimized crystal structure of Nd2CBr2, from the Alexandria database.

Geometry as POSCAR:
```
Nd2CBr2
1.0
9.974 0.000 0.000
0.000 7.701 0.000
-0.776 0.000 7.309
Nd C Br
8 4 8
Direct
0.053 0.138 0.329
0.053 0.362 0.829
0.321 0.509 0.243
0.321 0.991 0.743
0.679 0.009 0.257
0.679 0.491 0.757
0.947 0.638 0.171
0.947 0.862 0.671
0.117 0.096 0.653
0.117 0.404 0.153
0.883 0.596 0.847
0.883 0.904 0.347
0.207 0.629 0.620
0.207 0.871 0.120
0.458 0.227 0.485
0.458 0.273 0.985
0.542 0.727 0.015
0.542 0.773 0.515
0.793 0.129 0.880
0.793 0.371 0.380
```

Properties
Space-group type = P2_1/c, No. 14
Energy = -5.442 eV/atom

***

No. 14
The following is a GGA-PBE calculation of an optimized crystal structure of Nd3CBr3, from the Alexandria database.

Geometry as POSCAR:
```
Nd3CBr3
1.0
4.395 -6.095 0.000
4.395 6.095 0.000
-2.168 0.000 7.758
Nd C Br
6 2 6
Direct
0.091 0.091 0.324
0.146 0.459 0.727
0.459 0.146 0.727
0.541 0.854 0.273
0.854 0.541 0.273
0.909 0.909 0.676
0.167 0.167 0.631
0.833 0.833 0.369
0.169 0.831 0.000
0.281 0.719 0.500
0.401 0.401 0.163
0.599 0.599 0.837
0.719 0.281 0.500
0.831 0.169 0.000
```

Properties
Space-group type = C2/m, No. 12
Relative energy among the computed polymorphs = 30.75 kJ/mol of atoms
Energy = -5.051 eV/atom

***

No. 15
The following is a GGA-PBE calculation of an optimized crystal structure of Nd4C2Br3, from the Alexandria database.

Geometry as POSCAR:
```
Nd4C2Br3
1.0
7.477 -1.830 0.000
7.477 1.830 0.000
-1.901 0.000 8.675
Nd C Br
4 2 3
Direct
0.095 0.095 0.207
0.317 0.317 0.396
0.683 0.683 0.604
0.905 0.905 0.793
0.305 0.305 0.666
0.695 0.695 0.334
0.000 0.000 0.500
0.409 0.409 0.099
0.591 0.591 0.901
```

Properties
Space-group type = C2/m, No. 12
Energy = -5.659 eV/atom

***

No. 16
The following is a GGA-PBE calculation of an optimized crystal structure of Nd7CBr12, from the Alexandria database.

Geometry as POSCAR:
```
Nd7CBr12
1.0
7.484 4.321 3.373
-7.484 4.321 3.373
0.000 -8.641 3.373
Nd C Br
7 1 12
Direct
0.000 0.000 0.000
0.194 0.396 0.469
0.396 0.469 0.194
0.469 0.194 0.396
0.531 0.806 0.604
0.604 0.531 0.806
0.806 0.604 0.531
0.500 0.500 0.500
0.030 0.346 0.113
0.113 0.030 0.346
0.188 0.727 0.579
0.273 0.421 0.812
0.346 0.113 0.030
0.421 0.812 0.273
0.579 0.188 0.727
0.654 0.887 0.970
0.727 0.579 0.188
0.812 0.273 0.421
0.887 0.970 0.654
0.970 0.654 0.887
```

Properties
Space-group type = R-3, No. 148
Energy = -4.741 eV/atom

***

No. 17
The following is a GGA-PBE calculation of an optimized crystal structure of NdC2BrO6, from the Alexandria database.

Geometry as POSCAR:
```
NdC2BrO6
1.0
4.765 -4.688 0.000
4.765 4.688 0.000
-4.324 0.000 6.484
Nd C Br O
2 4 2 12
Direct
0.075 0.925 0.750
0.925 0.075 0.250
0.118 0.401 0.785
0.401 0.118 0.285
0.599 0.882 0.715
0.882 0.599 0.215
0.401 0.599 0.250
0.599 0.401 0.750
0.037 0.216 0.619
0.119 0.589 0.786
0.196 0.362 0.953
0.216 0.037 0.119
0.362 0.196 0.453
0.411 0.881 0.714
0.589 0.119 0.286
0.638 0.804 0.547
0.784 0.963 0.881
0.804 0.638 0.047
0.881 0.411 0.214
0.963 0.784 0.381
```

Properties
Space-group type = C2/c, No. 15
Energy = -7.175 eV/atom

***

No. 18
The following is a GGA-PBE calculation of an optimized crystal structure of Nd8C3Br3O, from the Alexandria database.

Geometry as POSCAR:
```
Nd8C3Br3O
1.0
6.579 -3.791 0.000
6.579 3.791 0.000
-4.391 0.000 7.249
Nd C Br O
8 3 3 1
Direct
0.224 0.733 0.689
0.230 0.230 0.688
0.267 0.776 0.311
0.268 0.268 0.312
0.732 0.732 0.688
0.733 0.224 0.689
0.770 0.770 0.312
0.776 0.267 0.311
0.000 0.000 0.500
0.000 0.500 0.500
0.500 0.000 0.500
0.000 0.500 0.000
0.500 0.000 0.000
0.500 0.500 0.000
0.500 0.500 0.500
```

Properties
Space-group type = C2/m, No. 12
Energy = -6.067 eV/atom

***

No. 19
The following is a GGA-PBE calculation of an optimized crystal structure of Nd4CBr2O, from the Alexandria database.

Geometry as POSCAR:
```
Nd4CBr2O
1.0
6.492 0.000 0.000
0.000 3.795 0.000
-2.183 0.000 7.358
Nd C Br O
4 1 2 1
Direct
0.228 0.000 0.179
0.272 0.500 0.818
0.728 0.500 0.182
0.772 0.000 0.821
0.500 0.000 0.000
0.000 0.000 0.500
0.500 0.500 0.500
0.000 0.500 0.000
```

Properties
Space-group type = P2/m, No. 10
Energy = -5.995 eV/atom

***

No. 20
The following is a GGA-PBE calculation of an optimized crystal structure of Nd8Os3CBr3, from the Alexandria database.

Geometry as POSCAR:
```
Nd8Os3CBr3
1.0
4.092 2.363 7.771
-4.092 2.363 7.771
0.000 -4.725 7.771
Nd Os C Br
8 3 1 3
Direct
0.235 0.235 0.235
0.245 0.718 0.718
0.282 0.282 0.755
0.282 0.755 0.282
0.718 0.245 0.718
0.718 0.718 0.245
0.755 0.282 0.282
0.765 0.765 0.765
0.000 0.000 0.500
0.000 0.500 0.000
0.500 0.000 0.000
0.500 0.500 0.500
0.000 0.500 0.500
0.500 0.000 0.500
0.500 0.500 0.000
```

Properties
Space-group type = R-3m, No. 166
Energy = -6.247 eV/atom

***

No. 21
The following is a GGA-PBE calculation of an optimized crystal structure of Nd8PC3Br4, from the Alexandria database.

Geometry as POSCAR:
```
Nd8PC3Br4
1.0
3.914 2.260 7.432
-3.914 2.260 7.432
0.000 -4.519 7.432
Nd P C Br
8 1 3 4
Direct
0.208 0.740 0.740
0.227 0.227 0.227
0.260 0.260 0.792
0.260 0.792 0.260
0.740 0.208 0.740
0.740 0.740 0.208
0.773 0.773 0.773
0.792 0.260 0.260
0.500 0.500 0.500
0.000 0.000 0.500
0.000 0.500 0.000
0.500 0.000 0.000
0.000 0.000 0.000
0.000 0.500 0.500
0.500 0.000 0.500
0.500 0.500 0.000
```

Properties
Space-group type = R-3m, No. 166
Energy = -5.903 eV/atom